The following is a PBE with a Hubbard U calculation of a relaxed structure of AcPm2MoO8, from the Alexandria database.

DOS at the Fermi energy ... 5.18 states/eV per cell
Raw total energy ... -91.47 eV for the cell shown

Lattice parameters (Å, degrees): 5.176 5.176 7.247 90.00 90.00 90.27
Sites, in units of the cell vectors:
O1 0.269 0.269 0.000
O2 0.322 0.321 0.500
O3 0.678 0.679 0.500
O4 0.819 0.182 0.198
O5 0.819 0.182 0.802
O6 0.181 0.818 0.198
O7 0.181 0.818 0.802
O8 0.731 0.731 0.000
Pm1 0.500 0.500 0.237
Pm2 0.500 0.500 0.763
Mo1 0.000 0.000 0.000
Ac1 0.000 0.000 0.500

***

The following is a PBE with a Hubbard U calculation of a relaxed structure of Ac2PmMoO8, from the Alexandria database.

DOS at the Fermi energy ... 0.58 states/eV per cell
Raw total energy ... -90.00 eV for the cell shown

Lattice parameters (Å, degrees): 4.491 5.638 7.332 90.00 90.00 95.29
Sites, in units of the cell vectors:
Ac1 0.500 0.500 0.757
Ac2 0.500 0.500 0.243
O1 0.939 0.226 0.799
O2 0.061 0.774 0.799
O3 0.442 0.246 0.500
O4 0.558 0.754 0.500
O5 0.599 0.840 0.000
O6 0.061 0.774 0.201
O7 0.939 0.226 0.201
O8 0.401 0.160 0.000
Pm1 0.000 0.000 0.500
Mo1 0.000 0.000 0.000

***

> Look up the DOS at the Fermi energy of the first one.

5.18 states/eV per cell

***

> Look up the DOS at the Fermi energy of the first one.

5.18 states/eV per cell